# Tb3CdAu2

An optimized crystal structure of Tb3CdAu2 (PBE, Alexandria).

**Formation energy from the elements**: -0.67 eV per atom
**Spin magnetization**: 0.000 μB per cell
**DOS(E_F)**: 0.760 states/eV per atom
**Crystal system**: tetragonal

Structure (CIF):
```
data_Tb3CdAu2
_space_group_name_H-M_alt 'P 4/m m m'
_space_group_IT_number 123
_space_group_name_Hall '-P 4 2'
_cell_length_a 3.6641
_cell_length_b 3.6641
_cell_length_c 10.9584
_cell_angle_alpha 90.00
_cell_angle_beta 90.00
_cell_angle_gamma 90.00
loop_
_atom_site_label
_atom_site_type_symbol
_atom_site_fract_x
_atom_site_fract_y
_atom_site_fract_z
Tb1 Tb 0.0000 0.0000 0.0000
Tb2 Tb 0.0000 0.0000 0.3226
Cd1 Cd 0.5000 0.5000 0.5000
Au1 Au 0.5000 0.5000 0.1672
```